No. 1
Ta2MnAu | meta-GGA SCAN | PBEsol geometry

Electronic total energy, eV for the cell shown: -221.173
DFT formation energy, eV/atom: -0.149
Total magnetization, Bohr magnetons per cell: 2.9
Theoretical density, g/cm³: 16.296
Crystal system: tetragonal

Cell and atoms, written as POSCAR:
```
Ta2MnAu
1.0
-2.151 -2.508 -2.374
3.002 -2.528 -0.049
-1.442 -1.773 3.180
Au Mn Ta
1 1 2
Direct
0.500 0.500 0.000 Au
0.500 0.000 0.500 Mn
0.000 0.000 0.000 Ta
0.000 0.500 0.500 Ta
```


No. 2
TaMnAu | meta-GGA SCAN | PBEsol geometry

Electronic total energy, eV for the cell shown: -154.510
DFT formation energy, eV/atom: -0.172
Total magnetization, Bohr magnetons per cell: 2.3
Theoretical density, g/cm³: 15.597
Crystal system: orthorhombic

Cell and atoms, written as POSCAR:
```
TaMnAu
1.0
-2.897 1.112 -0.202
-0.548 -1.927 -2.750
0.302 -2.827 4.025
Au Mn Ta
1 1 1
Direct
0.997 0.997 0.993 Au
0.323 0.323 0.646 Mn
0.680 0.680 0.360 Ta
```


No. 3
MnTcAu2 | meta-GGA SCAN | PBEsol geometry

Electronic total energy, eV for the cell shown: -191.418
DFT formation energy, eV/atom: 0.053
Total magnetization, Bohr magnetons per cell: 2.0
Theoretical density, g/cm³: 14.526
Crystal system: cubic

Cell and atoms, written as POSCAR:
```
MnTcAu2
1.0
4.455 0.000 0.000
2.227 3.858 0.000
2.227 1.286 3.637
Mn Au Tc
1 2 1
Direct
0.000 0.000 0.000 Mn
0.250 0.250 0.250 Au
0.750 0.750 0.750 Au
0.500 0.500 0.500 Tc
```


No. 4
MnTc2Au | meta-GGA SCAN | PBEsol geometry

Electronic total energy, eV for the cell shown: -156.936
DFT formation energy, eV/atom: 0.149
Total magnetization, Bohr magnetons per cell: 2.5
Theoretical density, g/cm³: 12.993
Crystal system: orthorhombic
Energy above the lowest structure with this stoichiometry, eV/atom: 0.0007

Cell and atoms, written as POSCAR:
```
MnTc2Au
1.0
2.910 0.000 0.000
0.000 4.282 0.000
-1.455 -2.141 4.593
Au Mn Tc
1 1 2
Direct
0.500 0.000 0.000 Au
0.000 0.500 0.000 Mn
0.718 0.718 0.437 Tc
0.282 0.282 0.563 Tc
```


No. 5
MnTc2Au | meta-GGA SCAN | PBEsol geometry

Electronic total energy, eV for the cell shown: -156.108
DFT formation energy, eV/atom: 0.356
Total magnetization, Bohr magnetons per cell: 2.9
Theoretical density, g/cm³: 13.003
Crystal system: cubic
Energy above the lowest structure with this stoichiometry, eV/atom: 0.2079

Cell and atoms, written as POSCAR:
```
MnTc2Au
1.0
-0.479 4.293 0.211
-1.340 1.849 3.673
2.746 2.369 2.356
Au Mn Tc
1 1 2
Direct
0.000 0.000 0.000 Au
0.500 0.500 0.500 Mn
0.250 0.250 0.250 Tc
0.750 0.750 0.750 Tc
```


No. 6
MnTc2Au | meta-GGA SCAN | PBEsol geometry

Electronic total energy, eV for the cell shown: -156.939
DFT formation energy, eV/atom: 0.148
Total magnetization, Bohr magnetons per cell: 3.4
Theoretical density, g/cm³: 12.789
Crystal system: cubic
Energy above the lowest structure with this stoichiometry, eV/atom: 0.0000

Cell and atoms, written as POSCAR:
```
MnTc2Au
1.0
4.349 0.000 0.000
2.174 3.766 0.000
2.174 1.255 3.551
Au Mn Tc
1 1 2
Direct
0.500 0.500 0.500 Au
0.250 0.250 0.250 Mn
0.000 0.000 0.000 Tc
0.750 0.750 0.750 Tc
```


No. 7
MnTeAu4 | meta-GGA SCAN | PBEsol geometry

Electronic total energy, eV for the cell shown: -332.231
Total magnetization, Bohr magnetons per cell: 5.0
Theoretical density, g/cm³: 13.945
Crystal system: cubic

Cell and atoms, written as POSCAR:
```
MnTeAu4
1.0
-3.488 -3.266 2.657
1.861 -3.500 3.766
-1.060 0.862 5.294
Au Mn Te
4 1 1
Direct
0.874 0.375 0.375 Au
0.375 0.375 0.375 Au
0.375 0.375 0.874 Au
0.375 0.874 0.375 Au
0.750 0.750 0.750 Mn
0.000 0.000 0.000 Te
```


No. 8
Mn3TeAu | meta-GGA SCAN | PBEsol geometry

Electronic total energy, eV for the cell shown: -157.794
Total magnetization, Bohr magnetons per cell: 11.8
Theoretical density, g/cm³: 7.452
Crystal system: cubic

Cell and atoms, written as POSCAR:
```
Mn3TeAu
1.0
-4.241 1.623 -1.485
-0.559 -3.914 -2.683
-2.128 -2.208 3.664
Te Au Mn
1 1 3
Direct
0.000 0.000 0.000 Te
0.500 0.500 0.500 Au
0.000 0.500 0.000 Mn
0.000 0.000 0.500 Mn
0.500 0.000 0.000 Mn
```


No. 9
Ti3MnAu | meta-GGA SCAN | PBEsol geometry

Electronic total energy, eV for the cell shown: -134.512
DFT formation energy, eV/atom: 0.198
Total magnetization, Bohr magnetons per cell: 0.0
Theoretical density, g/cm³: 7.717
Crystal system: cubic

Cell and atoms, written as POSCAR:
```
Ti3MnAu
1.0
4.399 0.000 0.000
0.000 4.399 0.000
0.000 0.000 4.399
Mn Au Ti
1 1 3
Direct
0.000 0.000 0.000 Mn
0.500 0.500 0.500 Au
0.000 0.500 0.000 Ti
0.000 0.000 0.500 Ti
0.500 0.000 0.000 Ti
```


No. 10
Mn3WAu | meta-GGA SCAN | PBEsol geometry

Electronic total energy, eV for the cell shown: -187.481
DFT formation energy, eV/atom: 1.226
Total magnetization, Bohr magnetons per cell: 9.9
Theoretical density, g/cm³: 8.669
Crystal system: cubic

Cell and atoms, written as POSCAR:
```
Mn3WAu
1.0
4.710 0.000 0.000
0.000 4.710 0.000
0.000 0.000 4.710
Mn Au W
3 1 1
Direct
0.000 0.500 0.000 Mn
0.000 0.000 0.500 Mn
0.500 0.000 0.000 Mn
0.000 0.000 0.000 Au
0.500 0.500 0.500 W
```


No. 11
MnWAu4 | meta-GGA SCAN | PBEsol geometry

Electronic total energy, eV for the cell shown: -361.418
DFT formation energy, eV/atom: 0.526
Total magnetization, Bohr magnetons per cell: 1.6
Theoretical density, g/cm³: 16.273
Crystal system: cubic

Cell and atoms, written as POSCAR:
```
MnWAu4
1.0
-4.522 -1.230 2.458
-2.697 -4.322 -1.429
-0.200 -4.183 3.234
Au Mn W
4 1 1
Direct
0.375 0.375 0.375 Au
0.375 0.375 0.875 Au
0.875 0.375 0.375 Au
0.375 0.875 0.375 Au
0.750 0.750 0.750 Mn
0.000 0.000 0.000 W
```


No. 12
Mn2WAu | meta-GGA SCAN | PBEsol geometry

Electronic total energy, eV for the cell shown: -175.618
DFT formation energy, eV/atom: -0.066
Total magnetization, Bohr magnetons per cell: 6.2
Theoretical density, g/cm³: 14.565
Crystal system: cubic

Cell and atoms, written as POSCAR:
```
Mn2WAu
1.0
4.293 0.000 0.000
2.146 3.718 0.000
2.146 1.239 3.505
Mn Au W
2 1 1
Direct
0.250 0.250 0.250 Mn
0.750 0.750 0.750 Mn
0.500 0.500 0.500 Au
0.000 0.000 0.000 W
```


No. 13
YMn3Au | meta-GGA SCAN | PBEsol geometry

Electronic total energy, eV for the cell shown: -144.578
DFT formation energy, eV/atom: 1.437
Total magnetization, Bohr magnetons per cell: 10.2
Theoretical density, g/cm³: 7.526
Crystal system: cubic

Cell and atoms, written as POSCAR:
```
YMn3Au
1.0
4.633 0.000 0.000
0.000 4.633 0.000
0.000 0.000 4.633
Y Mn Au
1 3 1
Direct
0.000 0.000 0.000 Y
0.000 0.500 0.000 Mn
0.000 0.000 0.500 Mn
0.500 0.000 0.000 Mn
0.500 0.500 0.500 Au
```


No. 14
YMnAu2 | meta-GGA SCAN | PBEsol geometry

Electronic total energy, eV for the cell shown: -187.066
DFT formation energy, eV/atom: -0.663
Total magnetization, Bohr magnetons per cell: 4.2
Theoretical density, g/cm³: 12.222
Crystal system: tetragonal

Cell and atoms, written as POSCAR:
```
YMnAu2
1.0
-3.027 -2.619 1.101
2.070 -3.138 -1.772
2.467 2.121 3.998
Au Mn Y
2 1 1
Direct
0.000 0.000 0.000 Au
0.750 0.250 0.500 Au
0.500 0.500 0.000 Mn
0.250 0.750 0.500 Y
```


No. 15
YMn2Au | meta-GGA SCAN | PBEsol geometry

Electronic total energy, eV for the cell shown: -135.461
DFT formation energy, eV/atom: -0.488
Total magnetization, Bohr magnetons per cell: 0.2
Theoretical density, g/cm³: 8.900
Crystal system: trigonal
Energy above the lowest structure with this stoichiometry, eV/atom: 0.0000

Cell and atoms, written as POSCAR:
```
YMn2Au
1.0
-3.919 -1.540 0.145
-1.046 -3.323 -2.369
-0.364 -4.569 2.825
Au Mn Y
1 2 1
Direct
0.714 0.714 0.859 Au
0.981 0.981 0.056 Mn
0.303 0.303 0.092 Mn
0.502 0.502 0.493 Y
```


No. 16
YMn2Au | meta-GGA SCAN | PBEsol geometry

Electronic total energy, eV for the cell shown: -134.484
DFT formation energy, eV/atom: -0.243
Total magnetization, Bohr magnetons per cell: 8.1
Theoretical density, g/cm³: 9.790
Crystal system: cubic
Energy above the lowest structure with this stoichiometry, eV/atom: 0.2443

Cell and atoms, written as POSCAR:
```
YMn2Au
1.0
-3.308 2.806 -1.410
-1.155 0.130 -4.411
-4.008 -1.701 -1.359
Au Mn Y
1 2 1
Direct
0.000 0.000 0.000 Au
0.250 0.250 0.250 Mn
0.750 0.750 0.750 Mn
0.500 0.500 0.500 Y
```


No. 17
YMn2Au | meta-GGA SCAN | PBEsol geometry

Electronic total energy, eV for the cell shown: -134.782
DFT formation energy, eV/atom: -0.318
Total magnetization, Bohr magnetons per cell: 8.5
Theoretical density, g/cm³: 9.083
Crystal system: cubic
Energy above the lowest structure with this stoichiometry, eV/atom: 0.1698

Cell and atoms, written as POSCAR:
```
YMn2Au
1.0
-1.895 2.971 3.075
-4.328 1.634 -0.689
-3.500 -1.411 2.763
Au Mn Y
1 2 1
Direct
0.500 0.500 0.500 Au
0.000 0.000 0.000 Mn
0.750 0.750 0.750 Mn
0.250 0.250 0.250 Y
```


No. 18
YMn2Au | meta-GGA SCAN | PBEsol geometry

Electronic total energy, eV for the cell shown: -133.865
DFT formation energy, eV/atom: -0.089
Total magnetization, Bohr magnetons per cell: 7.3
Theoretical density, g/cm³: 9.403
Crystal system: monoclinic
Energy above the lowest structure with this stoichiometry, eV/atom: 0.3991

Cell and atoms, written as POSCAR:
```
YMn2Au
1.0
-1.367 2.553 -0.779
-2.979 -3.016 -2.860
-0.720 -0.244 5.334
Au Mn Y
1 2 1
Direct
0.000 0.500 0.000 Au
0.000 0.000 0.500 Mn
0.500 0.500 0.500 Mn
0.500 0.000 0.000 Y
```


No. 19
YMnAu | meta-GGA SCAN | PBEsol geometry

Electronic total energy, eV for the cell shown: -116.169
DFT formation energy, eV/atom: -0.305
Total magnetization, Bohr magnetons per cell: 3.7
Theoretical density, g/cm³: 8.984
Crystal system: cubic

Cell and atoms, written as POSCAR:
```
YMnAu
1.0
4.466 0.000 0.000
2.233 3.868 0.000
2.233 1.289 3.647
Au Mn Y
1 1 1
Direct
0.500 0.500 0.500 Au
0.250 0.250 0.250 Mn
0.000 0.000 0.000 Y
```


No. 20
MnZnAu | meta-GGA SCAN | PBEsol geometry

Electronic total energy, eV for the cell shown: -101.946
DFT formation energy, eV/atom: -0.339
Total magnetization, Bohr magnetons per cell: 4.2
Theoretical density, g/cm³: 11.897
Crystal system: orthorhombic

Cell and atoms, written as POSCAR:
```
MnZnAu
1.0
-0.502 -2.400 -1.562
2.500 -1.830 2.009
-3.950 1.003 2.435
Zn Mn Au
1 1 1
Direct
0.331 0.331 0.662 Zn
0.670 0.670 0.340 Mn
0.999 0.999 0.998 Au
```


No. 21
Mn2ZnAu | meta-GGA SCAN | PBEsol geometry

Electronic total energy, eV for the cell shown: -120.513
DFT formation energy, eV/atom: -0.333
Total magnetization, Bohr magnetons per cell: 7.6
Theoretical density, g/cm³: 10.890
Crystal system: tetragonal

Cell and atoms, written as POSCAR:
```
Mn2ZnAu
1.0
-1.417 1.906 3.076
-3.600 -0.405 -1.407
-0.357 -3.252 1.850
Au Mn Zn
1 2 1
Direct
0.000 0.000 0.500 Au
0.000 0.500 0.000 Mn
0.500 0.000 0.000 Mn
0.500 0.500 0.500 Zn
```


No. 22
Mn2ZnAu | meta-GGA SCAN | PBEsol geometry

Electronic total energy, eV for the cell shown: -119.595
DFT formation energy, eV/atom: -0.103
Total magnetization, Bohr magnetons per cell: 7.7
Theoretical density, g/cm³: 10.773
Crystal system: trigonal

Cell and atoms, written as POSCAR:
```
Mn2ZnAu
1.0
2.770 0.000 0.000
1.385 2.399 0.000
1.385 0.800 8.632
Au Mn Zn
1 2 1
Direct
0.000 0.000 0.000 Au
0.246 0.246 0.261 Mn
0.754 0.754 0.739 Mn
0.500 0.500 0.500 Zn
```


No. 23
Mn2ZnAu | meta-GGA SCAN | PBEsol geometry

Electronic total energy, eV for the cell shown: -118.878
DFT formation energy, eV/atom: 0.076
Total magnetization, Bohr magnetons per cell: 0.2
Theoretical density, g/cm³: 11.907
Crystal system: trigonal

Cell and atoms, written as POSCAR:
```
Mn2ZnAu
1.0
2.650 0.000 0.000
1.325 2.295 0.000
1.325 0.765 8.536
Au Mn Zn
1 2 1
Direct
0.252 0.252 0.243 Au
0.011 0.011 0.968 Mn
0.744 0.744 0.768 Mn
0.493 0.493 0.521 Zn
```


No. 24
ZrMnAu | meta-GGA SCAN | PBEsol geometry

Electronic total energy, eV for the cell shown: -117.782
DFT formation energy, eV/atom: 0.110
Total magnetization, Bohr magnetons per cell: 4.1
Theoretical density, g/cm³: 9.249
Crystal system: cubic

Cell and atoms, written as POSCAR:
```
ZrMnAu
1.0
4.433 0.000 0.000
2.217 3.839 0.000
2.217 1.280 3.620
Au Mn Zr
1 1 1
Direct
0.000 0.000 0.000 Au
0.500 0.500 0.500 Mn
0.250 0.250 0.250 Zr
```


No. 25
ZrMnAu3 | meta-GGA SCAN | PBEsol geometry

Electronic total energy, eV for the cell shown: -254.920
DFT formation energy, eV/atom: 0.301
Total magnetization, Bohr magnetons per cell: 3.0
Theoretical density, g/cm³: 11.699
Crystal system: cubic

Cell and atoms, written as POSCAR:
```
ZrMnAu3
1.0
4.712 0.000 0.000
0.000 4.712 0.000
0.000 0.000 4.712
Mn Au Zr
1 3 1
Direct
0.000 0.000 0.000 Mn
0.000 0.500 0.000 Au
0.000 0.000 0.500 Au
0.500 0.000 0.000 Au
0.500 0.500 0.500 Zr
```


No. 26
ZrMn3Au | meta-GGA SCAN | PBEsol geometry

Electronic total energy, eV for the cell shown: -148.572
DFT formation energy, eV/atom: 1.210
Total magnetization, Bohr magnetons per cell: 9.4
Theoretical density, g/cm³: 8.044
Crystal system: cubic

Cell and atoms, written as POSCAR:
```
ZrMn3Au
1.0
-3.612 2.678 0.618
-2.748 -3.541 -0.716
0.060 -0.944 4.439
Mn Au Zr
3 1 1
Direct
0.000 0.500 0.000 Mn
0.000 0.000 0.500 Mn
0.500 0.000 0.000 Mn
0.500 0.500 0.500 Au
0.000 0.000 0.000 Zr
```


No. 27
Zr3MnAu | meta-GGA SCAN | PBEsol geometry

Electronic total energy, eV for the cell shown: -178.658
DFT formation energy, eV/atom: 0.170
Total magnetization, Bohr magnetons per cell: 0.0
Theoretical density, g/cm³: 8.518
Crystal system: cubic

Cell and atoms, written as POSCAR:
```
Zr3MnAu
1.0
4.679 0.000 0.000
0.000 4.679 0.000
0.000 0.000 4.679
Mn Au Zr
1 1 3
Direct
0.000 0.000 0.000 Mn
0.500 0.500 0.500 Au
0.000 0.500 0.000 Zr
0.000 0.000 0.500 Zr
0.500 0.000 0.000 Zr
```


No. 28
MoAu3 | meta-GGA SCAN | PBEsol geometry

Electronic total energy, eV for the cell shown: -241.283
DFT formation energy, eV/atom: 0.268
Total magnetization, Bohr magnetons per cell: 1.4
Theoretical density, g/cm³: 16.932
Crystal system: orthorhombic

Cell and atoms, written as POSCAR:
```
MoAu3
1.0
2.762 0.000 0.000
0.000 4.951 0.000
-1.381 -2.475 4.927
Au Mo
3 1
Direct
0.756 0.756 0.512 Au
0.000 0.500 0.000 Au
0.244 0.244 0.488 Au
0.500 0.000 0.000 Mo
```


No. 29
MoAu | meta-GGA SCAN | PBEsol geometry

Electronic total energy, eV for the cell shown: -207.329
DFT formation energy, eV/atom: 0.189
Total magnetization, Bohr magnetons per cell: 0.0
Theoretical density, g/cm³: 15.320
Crystal system: monoclinic

Cell and atoms, written as POSCAR:
```
MoAu
1.0
-0.212 -1.718 2.053
-3.450 -1.305 -3.203
3.750 -2.803 -1.958
Au Mo
2 2
Direct
0.123 0.246 0.375 Au
0.877 0.754 0.625 Au
0.378 0.756 0.119 Mo
0.622 0.244 0.881 Mo
```


No. 30
MoAu3 | meta-GGA SCAN | PBEsol geometry

Electronic total energy, eV for the cell shown: -241.245
DFT formation energy, eV/atom: 0.278
Total magnetization, Bohr magnetons per cell: 1.2
Theoretical density, g/cm³: 17.313
Crystal system: tetragonal

Cell and atoms, written as POSCAR:
```
MoAu3
1.0
4.179 0.000 0.000
-2.089 4.313 -0.005
0.000 2.029 3.653
Au Mo
3 1
Direct
0.250 0.500 0.250 Au
0.750 0.500 0.750 Au
0.000 0.000 0.000 Au
0.500 0.000 0.500 Mo
```